First-principles (PBE-GGA) data for a relaxed Th6CoHg3 crystal, as listed in Alexandria via LeMat-Bulk.

Output
ΔE_f   -96 meV/atom
Total magnetic moment   0.00 μB per atom
N(E_F)   25.55 states/eV/cell
Energy   -5.349 eV/atom

Cell and atoms, written as POSCAR:
```
Th6CoHg3
1.0
8.2979 0.6002 0.6137
0.4200 8.3090 0.6137
0.4200 0.4292 8.3205
Th Co Hg
12 2 6
direct
0.5182 0.5182 0.1803 Th
0.4818 0.8197 0.4818 Th
0.5182 0.1803 0.5182 Th
0.7866 0.1203 0.7866 Th
0.2134 0.8797 0.2134 Th
0.1203 0.7866 0.7866 Th
0.8197 0.4818 0.4818 Th
0.2134 0.2134 0.8797 Th
0.4818 0.4818 0.8197 Th
0.8797 0.2134 0.2134 Th
0.7866 0.7866 0.1203 Th
0.1803 0.5182 0.5182 Th
0.5000 0.5000 0.5000 Co
0.0000 0.0000 0.0000 Co
0.4959 0.8693 0.8693 Hg
0.8693 0.8693 0.4959 Hg
0.1307 0.1307 0.5041 Hg
0.8693 0.4959 0.8693 Hg
0.5041 0.1307 0.1307 Hg
0.1307 0.5041 0.1307 Hg
```